Entry 1:
The following is a DFT calculation (PBE-GGA) of a geometry-optimized RhPb structure.

Summary:
spin magnetization	0.00	μB/cell
ΔH_f (0 K)	0.09	eV per atom
raw total energy	-5.44	eV per atom

```
RhPb
1.0
3.4171 0.0000 0.0000
-1.7085 2.9593 0.0000
0.0000 0.0000 3.9962
Rh Pb
1 1
Cartesian
0.0000 0.0000 0.0000 Rh
0.0000 1.9728 1.9981 Pb
```



Entry 2:
The following is a DFT calculation (PBE-GGA) of a geometry-optimized Rh4Pb structure.

Summary:
spin magnetization	4.52	μB/cell
offset from the most stable computed form	1.125	eV per atom
ΔH_f (0 K)	1.18	eV per atom
raw total energy	-5.44	eV per atom

```
Rh4Pb
1.0
5.9505 0.0000 0.0000
0.0000 5.9505 0.0000
0.0000 0.0000 5.9505
Rh Pb
8 2
Cartesian
1.4876 1.4876 1.4876 Rh
1.4876 1.4876 4.4628 Rh
1.4876 4.4628 1.4876 Rh
1.4876 4.4628 4.4628 Rh
4.4628 1.4876 1.4876 Rh
4.4628 1.4876 4.4628 Rh
4.4628 4.4628 1.4876 Rh
4.4628 4.4628 4.4628 Rh
0.0000 0.0000 0.0000 Pb
2.9752 2.9752 2.9752 Pb
```



Entry 3:
The following is a DFT calculation (PBE-GGA) of a geometry-optimized RhPb structure.

Summary:
spin magnetization	0.00	μB/cell
ΔH_f (0 K)	0.03	eV per atom
raw total energy	-5.50	eV per atom

```
RhPb
1.0
10.1471 0.0000 0.0000
0.0000 3.5345 0.0000
-0.8517 0.0000 4.4167
Rh Pb
4 4
Cartesian
0.8145 0.0000 1.2656 Rh
3.4074 1.7673 3.1511 Rh
5.8881 1.7673 1.2656 Rh
8.4809 0.0000 3.1511 Rh
0.5986 1.7673 3.4989 Pb
3.6233 0.0000 0.9177 Pb
5.6721 0.0000 3.4989 Pb
8.6968 1.7673 0.9177 Pb
```



Entry 4:
The following is a DFT calculation (PBE-GGA) of a geometry-optimized RhPb structure.

Summary:
spin magnetization	0.00	μB/cell
ΔH_f (0 K)	0.08	eV per atom
raw total energy	-5.45	eV per atom

```
RhPb
1.0
3.2650 0.0000 0.0000
0.0000 5.4059 0.0000
0.0000 0.0000 4.5594
Rh Pb
2 2
Cartesian
0.8162 1.3515 0.6477 Rh
2.4487 4.0544 3.9117 Rh
0.8162 4.0544 1.5793 Pb
2.4487 1.3515 2.9801 Pb
```



Entry 5:
The following is a DFT calculation (PBE-GGA) of a geometry-optimized Rh3Pb structure.

Summary:
spin magnetization	3.13	μB/cell
ΔH_f (0 K)	0.34	eV per atom
raw total energy	-6.10	eV per atom

```
Rh3Pb
1.0
5.1278 0.0000 0.0000
0.0000 5.1278 0.0000
0.0000 0.0000 5.1278
Rh Pb
6 2
Cartesian
0.0000 1.2819 2.5639 Rh
0.0000 3.8458 2.5639 Rh
1.2819 2.5639 0.0000 Rh
2.5639 0.0000 1.2819 Rh
2.5639 0.0000 3.8458 Rh
3.8458 2.5639 0.0000 Rh
0.0000 0.0000 0.0000 Pb
2.5639 2.5639 2.5639 Pb
```



Entry 6:
The following is a DFT calculation (PBE-GGA) of a geometry-optimized Rh3Pb structure.

Summary:
spin magnetization	0.00	μB/cell
ΔH_f (0 K)	0.16	eV per atom
raw total energy	-6.28	eV per atom

```
Rh3Pb
1.0
2.9704 0.0000 0.0000
0.0000 9.1457 0.0000
0.0000 0.0000 4.8456
Rh Pb
6 2
Cartesian
0.0000 0.0000 0.0000 Rh
0.0000 2.3388 3.2533 Rh
0.0000 6.8068 3.2533 Rh
1.4852 2.2340 0.8305 Rh
1.4852 4.5728 2.4228 Rh
1.4852 6.9117 0.8305 Rh
0.0000 4.5728 0.0599 Pb
1.4852 0.0000 2.4828 Pb
```